(1)
Nd2HoHf | GGA-PBE | relaxed

Computed properties:
The calculation puts the raw total energy at -5.8423 eV/atom. The value obtained for the magnetization is 0.000 μB per cell.

a b c (Å): 4.9635 4.9635 4.8565
angles (deg): 90.00 90.00 90.00
Last column: nearest neighbours and their distance in Å.
Space group P4/mmm (No. 123)
Unique sites:
Nd 0.0000 0.5000 0.0000 (multiplicity 2)  4 Hf 3.47, 4 Ho 3.47, 4 Nd 3.51
Ho 0.0000 0.0000 0.5000 (multiplicity 1)  8 Nd 3.47, 4 Hf 3.51
Hf 0.5000 0.5000 0.5000 (multiplicity 1)  8 Nd 3.47, 4 Ho 3.51

---

(2)
CoNi5B3 | GGA-PBE | relaxed

Computed properties:
The calculation puts the raw total energy at -6.3095 eV/atom. The value obtained for the magnetization is 0.000 μB per cell.

a b c (Å): 8.7170 6.4430 7.0555
angles (deg): 90.00 113.15 90.00
Last column: nearest neighbours and their distance in Å.
Space group C2/m (No. 12)
Unique sites:
Co 0.0977 0.0000 0.2960 (multiplicity 4)  3 B 1.90-1.94
Ni 0.0000 0.3020 0.0000 (multiplicity 4)  3 B 1.94-1.95
Ni 0.0596 0.5000 0.3634 (multiplicity 4)  3 B 1.94-1.96
Ni 0.1696 0.1980 0.6644 (multiplicity 8)  3 B 1.94-1.95
Ni 0.2345 0.0000 0.0347 (multiplicity 4)  3 B 1.94-1.96
B 0.0000 0.0000 0.0000 (multiplicity 2)  2 Co 1.92, 4 Ni 1.95-1.96
B 0.0000 0.0000 0.5000 (multiplicity 2)  2 Co 1.94, 4 Ni 1.95
B 0.1653 0.5000 0.1672 (multiplicity 4)  6 Ni 1.94
B 0.1728 0.5000 0.6626 (multiplicity 4)  1 Co 1.90, 5 Ni 1.95-1.96

---

(3)
HfPd3Pt7 | GGA-PBE | relaxed

Computed properties:
The calculation puts the raw total energy at -6.2299 eV/atom. The value obtained for the magnetization is 0.000 μB per cell.

a b c (Å): 9.5169 9.6334 4.8554
angles (deg): 90.00 120.64 90.00
Last column: nearest neighbours and their distance in Å.
Space group C2/m (No. 12)
Unique sites:
Hf 0.0000 0.0000 0.0000 (multiplicity 2)  4 Pt 2.43-2.66
Pd 0.0000 0.2669 0.5000 (multiplicity 4)  9 Pt 2.57-2.80
Pd 0.0000 0.5000 0.0000 (multiplicity 2)  8 Pt 2.75-2.82
Pt 0.0000 0.0000 0.5000 (multiplicity 2)  2 Hf 2.43, 2 Pd 2.57
Pt 0.1693 0.2531 0.1696 (multiplicity 8)  4 Pd 2.71-2.80, 4 Pt 2.75-2.77, 1 Hf 2.81
Pt 0.1747 0.5000 0.6731 (multiplicity 4)  4 Pd 2.66-2.82, 1 Hf 2.66, 3 Pt 2.75-2.86

---

(4)
Tb3Ga9Pt2 | GGA-PBE | relaxed

Computed properties:
The calculation puts the raw total energy at -4.5043 eV/atom. The value obtained for the magnetization is 0.000 μB per cell.

a b c (Å): 4.2407 10.0403 12.3303
angles (deg): 90.00 90.00 90.00
Last column: nearest neighbours and their distance in Å.
Space group Immm (No. 71)
Unique sites:
Tb 0.0000 0.0000 0.0000 (multiplicity 2)  12 Ga 3.22, 4 Pt 3.48
Tb 0.0000 0.0000 0.3231 (multiplicity 4)  10 Ga 3.04-3.13, 2 Pt 3.14
Ga 0.0000 0.2779 0.1296 (multiplicity 8)  2 Pt 2.66, 4 Ga 2.66-2.74
Ga 0.0000 0.3747 0.3317 (multiplicity 8)  4 Ga 2.52-2.67, 1 Pt 2.56
Ga 0.0000 0.5000 0.0000 (multiplicity 2)  4 Ga 2.74, 4 Tb 3.04
Pt 0.0000 0.2254 0.5000 (multiplicity 4)  6 Ga 2.56-2.66

---

(5)
Ce5Se5N | GGA-PBE | relaxed

Computed properties:
The calculation puts the raw total energy at -6.6826 eV/atom. Its formation energy without anion corrections is -1746 kJ/mol of formula units. The value obtained for the magnetization is 10.260 μB per cell.

a b c (Å): 12.9644 5.8184 8.1105
angles (deg): 90.00 109.03 90.00
Last column: nearest neighbours and their distance in Å.
Space group C2/m (No. 12)
Unique sites:
Ce 0.0000 0.0000 0.0000 (multiplicity 2)  4 Se 2.90-2.94, 2 N 2.91
Ce 0.1485 0.5000 0.8499 (multiplicity 4)  1 N 2.59, 1 Se 2.86
Ce 0.1504 0.5000 0.3018 (multiplicity 4)  1 N 2.58
Se 0.0000 0.5000 0.5000 (multiplicity 2)  4 Ce 2.86-2.90
Se 0.1606 0.0000 0.8215 (multiplicity 4)  5 Ce 2.90-2.99
Se 0.1789 0.0000 0.3342 (multiplicity 4)  5 Ce 2.93-3.07
N 0.0000 0.5000 0.0000 (multiplicity 2)  4 Ce 2.58-2.59

---

(6)
VTcP2S | GGA-PBE | relaxed

Computed properties:
The calculation puts the raw total energy at -6.1710 eV/atom. Its formation energy without anion corrections is 345 kJ/mol of formula units. The value obtained for the magnetization is 3.438 μB per cell.

a b c (Å): 4.5745 4.5745 4.3926
angles (deg): 90.00 90.00 90.00
Last column: nearest neighbours and their distance in Å.
Space group P4/mmm (No. 123)
Unique sites:
V 0.0000 0.0000 0.0000 (multiplicity 1)  2 S 2.20, 4 P 2.29
Tc 0.5000 0.5000 0.5000 (multiplicity 1)  8 P 3.17, 4 S 3.23
P 0.0000 0.5000 0.0000 (multiplicity 2)  2 V 2.29
S 0.0000 0.0000 0.5000 (multiplicity 1)  2 V 2.20

---

(7)
CsCrCl2 | GGA-PBE | relaxed

Computed properties:
The calculation puts the raw total energy at -4.5469 eV/atom. Its formation energy without anion corrections is -388 kJ/mol of formula units. The value obtained for the magnetization is 15.000 μB per cell.

a b c (Å): 5.3128 5.3128 24.1149
angles (deg): 90.00 90.00 120.00
Last column: nearest neighbours and their distance in Å.
Space group R-3m (No. 166, hexagonal axes)
Unique sites:
Cs 0.0000 0.0000 0.0000 (multiplicity 3)  6 Cl 3.51
Cr 0.0000 0.0000 0.5000 (multiplicity 3)  2 Cl 2.31
Cl 0.0000 0.0000 0.4042 (multiplicity 6)  1 Cr 2.31

---

(8)
VNiC2I | GGA-PBE | relaxed

Computed properties:
The calculation puts the raw total energy at -5.2579 eV/atom. Its formation energy without anion corrections is 831 kJ/mol of formula units. The value obtained for the magnetization is 0.011 μB per cell.

a b c (Å): 3.7126 3.7126 5.3184
angles (deg): 90.00 90.00 90.00
Last column: nearest neighbours and their distance in Å.
Space group P4/mmm (No. 123)
Unique sites:
V 0.0000 0.0000 0.0000 (multiplicity 1)  4 I 2.63, 2 Ni 2.66
Ni 0.0000 0.0000 0.5000 (multiplicity 1)  4 C 1.86
C 0.0000 0.5000 0.5000 (multiplicity 2)  2 Ni 1.86
I 0.5000 0.5000 0.0000 (multiplicity 1)  4 V 2.63

---

(9)
InGaP2 | GGA-PBE | relaxed

Computed properties:
The calculation puts the raw total energy at -4.4486 eV/atom. The value obtained for the magnetization is 0.000 μB per cell.

a b c (Å): 5.7372 5.7372 11.3828
angles (deg): 90.00 90.00 90.00
Last column: nearest neighbours and their distance in Å.
Space group I-42d (No. 122)
Unique sites:
In 0.0000 0.0000 0.0000 (multiplicity 4)  4 P 2.57
Ga 0.0000 0.0000 0.5000 (multiplicity 4)  4 P 2.39
P 0.2234 0.2500 0.6250 (multiplicity 8)  2 Ga 2.39, 2 In 2.57

---

(10)
Pr6Sm3Hg | GGA-PBE | relaxed

Computed properties:
The calculation puts the raw total energy at -4.3470 eV/atom. The value obtained for the magnetization is 0.000 μB per cell.

a b c (Å): 9.7206 5.8033 12.5998
angles (deg): 90.00 108.65 90.00
Last column: nearest neighbours and their distance in Å.
Space group P2_1/m (No. 11)
Unique sites:
Pr 0.0973 0.2500 0.3003 (multiplicity 2)  1 Hg 3.55, 7 Pr 3.61-3.75, 4 Sm 3.65-3.87
Pr 0.1168 0.2500 0.8305 (multiplicity 2)  1 Hg 3.54, 9 Pr 3.54-3.91, 2 Sm 3.55-3.77
Pr 0.1199 0.7500 0.9922 (multiplicity 2)  8 Pr 3.46-3.77, 1 Sm 3.48, 2 Hg 3.55
Pr 0.2930 0.2500 0.6093 (multiplicity 2)  7 Sm 3.57-3.74, 5 Pr 3.59-3.75
Pr 0.3068 0.7500 0.7796 (multiplicity 2)  1 Hg 3.50, 5 Sm 3.52-3.70, 6 Pr 3.59-3.73
Pr 0.3080 0.7500 0.2760 (multiplicity 2)  4 Pr 3.46-3.68, 5 Sm 3.47-3.72, 2 Hg 3.51
Sm 0.0988 0.7500 0.4769 (multiplicity 2)  9 Pr 3.57-3.87, 3 Sm 3.63
Sm 0.4923 0.7500 0.5809 (multiplicity 2)  8 Pr 3.52-3.79, 3 Sm 3.58-3.63, 1 Hg 3.63
Sm 0.4981 0.7500 0.0850 (multiplicity 2)  7 Pr 3.47-3.74, 3 Hg 3.51-3.61, 2 Sm 3.61
Hg 0.3138 0.2500 0.1203 (multiplicity 2)  7 Pr 3.50-3.55, 4 Sm 3.51-3.63

---

(11)
PuGeAu2 | GGA-PBE | relaxed

Computed properties:
The calculation puts the raw total energy at -6.6598 eV/atom. The value obtained for the magnetization is 10.923 μB per cell.

a b c (Å): 4.5415 4.5415 8.2030
angles (deg): 90.00 90.00 90.00
Last column: nearest neighbours and their distance in Å.
Space group I4/mmm (No. 139)
Unique sites:
Pu 0.0000 0.0000 0.0000 (multiplicity 2)  8 Au 3.06, 4 Ge 3.21
Ge 0.0000 0.0000 0.5000 (multiplicity 2)  8 Au 3.06, 4 Pu 3.21
Au 0.0000 0.5000 0.2500 (multiplicity 4)  4 Ge 3.06, 4 Pu 3.06, 4 Au 3.21

---

(12)
Ag2HgCl5 | GGA-PBE | relaxed

Computed properties:
The calculation puts the raw total energy at -2.3476 eV/atom. Its formation energy without anion corrections is -342 kJ/mol of formula units. The value obtained for the magnetization is 0.000 μB per cell.

a b c (Å): 5.1833 13.6556 12.8489
angles (deg): 90.00 90.00 90.00
Last column: nearest neighbours and their distance in Å.
Space group Cmcm (No. 63)
Unique sites:
Ag 0.0000 0.1438 0.0643 (multiplicity 8)  4 Cl 2.50-2.62
Hg 0.0000 0.2103 0.7500 (multiplicity 4)  6 Cl 2.60-2.85
Cl 0.0000 0.0702 0.6135 (multiplicity 8)  1 Ag 2.50, 1 Hg 2.60
Cl 0.0000 0.2028 0.2500 (multiplicity 4)  2 Ag 2.52
Cl 0.0000 0.3333 0.5781 (multiplicity 8)  2 Ag 2.62, 1 Hg 2.77